Computed, not measured: a relaxed SrReB2 crystal at the PBE-GGA level of DFT.

```
SrReB2
1.0
-1.110 2.760 3.129
-2.077 3.656 -0.982
-4.152 0.481 1.081
B Re Sr
2 1 1
Direct
0.750 0.750 0.750
0.250 0.250 0.250
0.500 0.500 0.500
0.000 0.000 0.000
```

Offset from the most stable computed form: 1062.8 meV/atom
E: -5.496 eV per atom
Space group: Fm-3m, No. 225
Calculated volume: 57 Å³/cell
Energy of formation: 5.501 eV/f.u.